Record 1
# ThAgH6Ir2 (PBE-GGA, optimized geometry)
# Total magnetic moment (μB per formula unit): 0.0
# E (eV/atom): -5.040
# Fermi-level density of states (states/eV/atom): 0.22
data_ThAgH6Ir2
_cell_length_a 4.7693
_cell_length_b 4.7693
_cell_length_c 5.7905
_cell_angle_alpha 65.68
_cell_angle_beta 65.68
_cell_angle_gamma 60.00
_space_group_name_H-M_alt 'P 1'
_space_group_IT_number 1
_space_group_name_Hall 'P 1'
loop_
_atom_site_label
_atom_site_fract_x
_atom_site_fract_y
_atom_site_fract_z
H1 0.5632 0.5633 0.8267
H2 0.0468 0.5632 0.8267
H3 0.4367 0.9532 0.1733
H4 0.5633 0.0468 0.8267
H5 0.4368 0.4367 0.1733
H6 0.9532 0.4368 0.1733
Ir1 0.2121 0.2121 0.3638
Ir2 0.7879 0.7879 0.6362
Ag1 0.5000 0.5000 0.5000
Th1 0.0000 0.0000 0.0000

---

Record 2
# ThAgH6Ir (PBE-GGA, optimized geometry)
# Total magnetic moment (μB per formula unit): 0.0
# E (eV/atom): -4.514
# Fermi-level density of states (states/eV/atom): 0.26
data_ThAgH6Ir
_cell_length_a 4.8083
_cell_length_b 4.8082
_cell_length_c 4.3203
_cell_angle_alpha 90.00
_cell_angle_beta 90.00
_cell_angle_gamma 60.00
_space_group_name_H-M_alt 'P 1'
_space_group_IT_number 1
_space_group_name_Hall 'P 1'
loop_
_atom_site_label
_atom_site_fract_x
_atom_site_fract_y
_atom_site_fract_z
Th1 0.0000 0.0000 0.0000
H1 0.4811 0.4809 0.7860
H2 0.0380 0.4809 0.2140
H3 0.4811 0.0380 0.2140
H4 0.0380 0.4811 0.7860
H5 0.4808 0.0380 0.7860
H6 0.4808 0.4811 0.2140
Ir1 0.3333 0.3333 0.5000
Ag1 0.6667 0.6667 0.5000

---

Looking at calculated volume for the records above, in order, we have 100.34; 86.50 Å³/f.u..